PaTcO | GGA-PBE | relaxed

POSCAR file:
```
PaTcO
1.0
-2.876 1.801 2.712
3.569 -1.232 4.602
3.419 6.736 -0.848
O Pa Tc
4 4 4
Direct
0.750 0.523 0.904
0.250 0.023 0.596
0.750 0.977 0.404
0.250 0.477 0.096
0.750 0.109 0.696
0.250 0.609 0.804
0.250 0.891 0.304
0.750 0.391 0.196
0.250 0.112 0.032
0.250 0.388 0.532
0.750 0.612 0.468
0.750 0.888 0.968
```

Computed properties:
Total magnetic moment: 0.00 Bohr magnetons per cell
Space group: Pnma, No. 62
Fermi-level density of states: 0.128 states/eV per atom
Crystal system: orthorhombic
ΔE_f (raw): -1.52 eV per atom